Below is an optimized crystal structure of NdCdMoO6, with properties calculated at the GGA+U level.

a = 4.647 Å, b = 5.721 Å, c = 5.721 Å
α = 120.00°, β = 90.00°, γ = 90.00°
Element x y z (fractional)
O 0.270 0.710 0.990
O 0.270 0.280 0.290
O 0.730 0.280 0.990
O 0.730 0.010 0.290
O 0.270 0.010 0.720
O 0.730 0.710 0.720
Mo 0.500 0.000 0.000
Nd 0.500 0.667 0.333
Cd 0.000 0.333 0.667

**Energy**: -57.87 eV per cell